Compound: BaTiIn3
Source: Alexandria via LeMat-Bulk
Functional: PBE-GGA
Structure: relaxed

Unit cell a=6.0364 b=6.0364 c=6.0364 alpha=90.00 beta=90.00 gamma=90.00
Element x y z (fractional)
1 Ti 0.5000 0.5000 0.5000
2 Ba 0.0000 0.0000 0.0000
3 In 0.0000 0.5000 0.0000
4 In 0.0000 0.0000 0.5000
5 In 0.5000 0.0000 0.0000

Results
Its final energy is -0.07774 Ha/atom. As for the density: 4.0 g/cm3. The density of states at the Fermi level is 20.83 states/eV per cell. For the relative energy among the computed polymorphs, the calculation gives 8.001 eV/f.u.


Compound: AlZn2Cd
Source: Alexandria via LeMat-Bulk
Functional: PBE-GGA
Structure: relaxed

Unit cell a=2.9087 b=2.9087 c=8.2753 alpha=90.00 beta=90.00 gamma=90.00
Element x y z (fractional)
1 Zn 0.0000 0.0000 0.0228
2 Zn 0.5000 0.5000 0.2451
3 Al 0.0000 0.0000 0.4757
4 Cd 0.5000 0.5000 0.7564

Results
Its final energy is -0.06321 Ha/atom. As for the density: 6.4 g/cm3. The density of states at the Fermi level is 1.34 states/eV per cell. For the relative energy among the computed polymorphs, the calculation gives 0.088 eV/f.u.


Compound: Ce4ThSi2
Source: Alexandria via LeMat-Bulk
Functional: PBE-GGA
Structure: relaxed

Unit cell a=3.8107 b=9.8168 c=9.8168 alpha=90.00 beta=90.00 gamma=90.00
Element x y z (fractional)
1 Ce 0.0000 0.1002 0.3202
2 Ce 0.0000 0.8998 0.6798
3 Ce 0.5000 0.1798 0.6002
4 Ce 0.5000 0.8202 0.3998
5 Ce 0.5000 0.3998 0.8202
6 Ce 0.5000 0.6002 0.1798
7 Ce 0.0000 0.3202 0.1002
8 Ce 0.0000 0.6798 0.8998
9 Th 0.5000 0.0000 0.0000
10 Th 0.0000 0.5000 0.5000
11 Si 0.0000 0.1688 0.8312
12 Si 0.0000 0.8312 0.1688
13 Si 0.5000 0.6688 0.6688
14 Si 0.5000 0.3312 0.3312

Results
Its final energy is -0.23388 Ha/atom. As for the density: 7.7 g/cm3. The density of states at the Fermi level is 29.87 states/eV per cell. Its formation energy (no corrections) is -0.364 eV/atom.


Compound: Ga2GeI6Br2
Source: Alexandria via LeMat-Bulk
Functional: PBE-GGA
Structure: relaxed

Unit cell a=7.3986 b=7.3986 c=10.4505 alpha=90.00 beta=90.00 gamma=120.00
Element x y z (fractional)
1 Ga 0.3333 0.6667 0.7464
2 Ga 0.6667 0.3333 0.2536
3 Ge 0.0000 0.0000 0.0000
4 I 0.3329 0.3302 0.8272
5 I 0.9972 0.6671 0.8272
6 I 0.6698 0.0028 0.8272
7 I 0.6671 0.6698 0.1728
8 I 0.0028 0.3329 0.1728
9 I 0.3302 0.9972 0.1728
10 Br 0.3333 0.6667 0.5257
11 Br 0.6667 0.3333 0.4743

Results
Its final energy is -0.09569 Ha/atom. As for the density: 3.8 g/cm3. The density of states at the Fermi level is 0.00 states/eV per cell. Its formation energy (no corrections) is -0.484 eV/atom.


Compound: Cu3Pt2
Source: Alexandria via LeMat-Bulk
Functional: PBE-GGA
Structure: relaxed

Unit cell a=3.8819 b=5.9070 c=5.9070 alpha=90.00 beta=90.00 gamma=90.00
Element x y z (fractional)
1 Cu 0.0000 0.0117 0.9980
2 Cu 0.5000 0.0980 0.2883
3 Cu 0.0000 0.2000 0.6000
4 Cu 0.5000 0.3020 0.9117
5 Cu 0.0000 0.3883 0.2020
6 Cu 0.5000 0.7000 0.1000
7 Pt 0.5000 0.4852 0.4948
8 Pt 0.0000 0.5948 0.8148
9 Pt 0.0000 0.8052 0.3852
10 Pt 0.5000 0.9148 0.7052

Results
Its final energy is -0.18333 Ha/atom. As for the density: 14.2 g/cm3. The density of states at the Fermi level is 7.09 states/eV per cell. For the relative energy among the computed polymorphs, the calculation gives 0.229 eV/f.u.


Compound: ZnP2W
Source: Alexandria via LeMat-Bulk
Functional: PBE-GGA
Structure: relaxed

Unit cell a=4.3483 b=4.3483 c=4.3483 alpha=60.00 beta=60.00 gamma=60.00
Element x y z (fractional)
1 P 0.0000 0.0000 0.0000
2 P 0.2500 0.2500 0.2500
3 W 0.5000 0.5000 0.5000
4 Zn 0.7500 0.7500 0.7500

Results
Its final energy is -0.20240 Ha/atom. As for the density: 8.9 g/cm3. The density of states at the Fermi level is 5.47 states/eV per cell.